The following is a PBE-GGA calculation of a geometry-optimized Nd4Cd5Hg structure, from Alexandria via LeMat-Bulk.

The structure in extended XYZ format:
```
10
Lattice="4.9225 0.0000 -1.6876 -0.6202 6.4681 -1.8091 0.1845 -0.1153 8.5609" Properties=species:S:1:pos:R:3 pbc="T T T"
Cd 4.2345 3.6888 4.3284
Nd 3.2569 2.0246 1.4770
Cd 0.2523 2.6640 0.7358
Nd 1.2298 4.3282 3.5872
Hg 2.4612 0.0000 -0.8438
Nd 4.5247 0.6539 5.1748
Cd 2.1511 3.2340 -1.7484
Nd -0.0379 5.6988 -0.1107
Cd 3.0352 5.2297 0.8303
Cd 1.4515 1.1230 4.2339
```

DFT total energy ... -2.724 eV per atom
Calculated formation energy ... -329 meV/atom